Entry 1:
DFT (GGA-PBE) results for a relaxed structure of Nd5Hg2Rh.

a = 5.882 Å, b = 7.050 Å, c = 12.839 Å
α = 90.00°, β = 90.00°, γ = 114.66°
Atoms (fractional coordinates):
Hg1 0.182 0.364 0.631
Hg2 0.182 0.364 0.869
Nd1 0.371 0.741 0.433
Rh1 0.763 0.526 0.750
Nd2 0.395 0.790 0.750
Hg3 0.818 0.636 0.369
Nd3 0.075 0.149 0.395
Nd4 0.605 0.210 0.250
Nd5 0.925 0.851 0.895
Hg4 0.818 0.636 0.131
Nd6 0.925 0.851 0.605
Nd7 0.371 0.741 0.067
Nd8 0.075 0.149 0.105
Rh2 0.237 0.474 0.250
Nd9 0.629 0.259 0.567
Nd10 0.629 0.259 0.933

ΔE to the lowest computed polymorph, eV per atom: 0.233
DOS at the Fermi energy, states/eV per atom: 1.317
DFT formation energy, eV/atom: -0.20
Space-group type: Cmcm (63)

Entry 2:
DFT (GGA-PBE) results for a relaxed structure of HoEr2Tm6Sc.

a = 9.295 Å, b = 8.565 Å, c = 8.565 Å
α = 117.38°, β = 93.83°, γ = 93.83°
Atoms (fractional coordinates):
Sc1 0.750 0.588 0.412
Tm1 0.189 0.566 0.010
Er1 0.453 0.800 0.695
Tm2 0.811 0.434 0.990
Tm3 0.116 0.708 0.495
Ho1 0.250 0.977 0.023
Er2 0.047 0.305 0.200
Tm4 0.057 0.128 0.752
Tm5 0.311 0.990 0.434
Tm6 0.689 0.010 0.566
Tm7 0.557 0.752 0.128
Tm8 0.616 0.495 0.708
Tm9 0.384 0.505 0.292
Er3 0.547 0.200 0.305
Ho2 0.750 0.023 0.977
Tm10 0.884 0.292 0.505
Tm11 0.443 0.248 0.872
Sc2 0.250 0.412 0.588
Tm12 0.943 0.872 0.248
Er4 0.953 0.695 0.800

DOS at the Fermi energy, states/eV per atom: 1.307
DFT formation energy, eV/atom: 0.13
Space-group type: C2/c (15)